Entry 1:
This record from Alexandria describes a relaxed ThSeS crystal. The functional is GGA-PBE.

Cell and atoms, written as POSCAR:
```
ThSeS
1.0
0.000 3.421 3.421
3.421 0.000 3.421
3.421 3.421 0.000
Th Se S
1 1 1
direct
0.000 0.000 0.000 Th
0.750 0.750 0.750 Se
0.250 0.250 0.250 S
```

- electronic total energy (eV per atom) = -6.859
- space-group type = F-43m (216)
- offset from the most stable computed form (eV per atom) = 0.020

---

Entry 2:
This record from Alexandria describes a relaxed SiTc2Ru crystal. The functional is GGA-PBE.

Cell and atoms, written as POSCAR:
```
SiTc2Ru
1.0
1.389 0.802 8.341
-1.389 0.802 8.341
0.000 -1.604 8.341
Si Tc Ru
1 2 1
direct
0.000 0.000 0.000 Si
0.251 0.251 0.251 Tc
0.500 0.500 0.500 Tc
0.743 0.743 0.743 Ru
```

- electronic total energy (eV per atom) = -8.980
- space-group type = R3m (160)

---

Entry 3:
This record from Alexandria describes a relaxed V3Cr crystal. The functional is GGA-PBE.

Cell and atoms, written as POSCAR:
```
V3Cr
1.0
0.000 2.955 2.955
2.955 0.000 2.955
2.955 2.955 0.000
V Cr
3 1
direct
0.000 0.000 0.000 V
0.250 0.250 0.250 V
0.750 0.750 0.750 V
0.500 0.500 0.500 Cr
```

- electronic total energy (eV per atom) = -9.285
- space-group type = Fm-3m (225)
- energy relative to the elements (meV/atom) = -41

---

Entry 4:
This record from Alexandria describes a relaxed LaMgNi crystal. The functional is GGA-PBE.

Cell and atoms, written as POSCAR:
```
LaMgNi
1.0
6.260 -2.155 0.000
6.260 2.155 0.000
-0.942 0.000 5.251
La Mg Ni
2 2 2
direct
0.137 0.137 0.306 La
0.863 0.863 0.694 La
0.408 0.408 0.208 Mg
0.592 0.592 0.792 Mg
0.225 0.225 0.859 Ni
0.775 0.775 0.141 Ni
```

- electronic total energy (eV per atom) = -4.370
- space-group type = C2/m (12)
- energy relative to the elements (meV/atom) = -269

---

> Among the records above, which one has the lowest electronic total energy?

V3Cr